No. 1
Compound: YCrAu4
Source: Alexandria via LeMat-Bulk
Functional: GGA-PBE
Structure: optimized geometry

Values from the calculation:
**Calculated total energy**: -5.08 eV/atom
**E_form**: -4.94 kcal/mol of atoms

Geometry as extended XYZ:
```
6
Lattice="0.0000 3.9228 3.9228 3.9228 0.0000 3.9228 3.9228 3.9228 0.0000" Properties=species:S:1:pos:R:3 pbc="T T T"
Y 0.0000 0.0000 0.0000
Cr 1.9614 1.9614 1.9614
Au 4.9004 2.9451 2.9451
Au 2.9451 4.9004 2.9451
Au 2.9451 2.9451 4.9004
Au 4.9004 4.9004 4.9004
```

=====

No. 2
Compound: MnCo2Ni2
Source: Alexandria via LeMat-Bulk
Functional: GGA-PBE
Structure: optimized geometry

Values from the calculation:
**Calculated total energy**: -6.56 eV/atom
**E_form**: 9.90 kcal/mol of atoms

Geometry as extended XYZ:
```
10
Lattice="6.6675 0.0000 0.0000 0.0000 6.6675 0.0000 0.0000 0.0000 2.4911" Properties=species:S:1:pos:R:3 pbc="T T T"
Mn 0.0000 0.0000 0.0000
Mn 3.3337 3.3337 0.0000
Co 0.8176 2.5161 0.0000
Co 2.5161 5.8499 0.0000
Co 4.1514 0.8176 0.0000
Co 5.8499 4.1514 0.0000
Ni 1.1718 4.5055 1.2455
Ni 2.1620 1.1718 1.2455
Ni 4.5055 5.4957 1.2455
Ni 5.4957 2.1620 1.2455
```

=====

No. 3
Compound: V6FeTc5
Source: Alexandria via LeMat-Bulk
Functional: GGA-PBE
Structure: optimized geometry

Values from the calculation:
**Calculated total energy**: -9.90 eV/atom
**E_form**: -7.31 kcal/mol of atoms

Geometry as extended XYZ:
```
12
Lattice="-2.1265 3.0085 6.3470 2.1265 -3.0085 6.3470 2.1265 3.0085 -6.3470" Properties=species:S:1:pos:R:3 pbc="T T T"
V 2.1265 1.4983 -2.1017
V 0.0000 1.4927 0.0000
V 2.1265 1.4983 2.1017
V 0.0000 1.5101 4.2453
V 0.0000 4.5242 0.0000
V 0.0000 1.5101 8.4487
Fe 2.1265 0.0000 0.0000
Tc 0.0000 0.0000 2.0810
Tc 2.1265 0.0000 4.2239
Tc 0.0000 0.0000 6.3470
Tc 0.0000 3.0085 2.1232
Tc 0.0000 0.0000 10.6130
```

=====

No. 4
Compound: AlAuI2O
Source: Alexandria via LeMat-Bulk
Functional: GGA-PBE
Structure: optimized geometry

Values from the calculation:
**Formation energy from raw total energies**: -591 meV per atom
**Calculated total energy**: -3.61 eV/atom

Geometry as extended XYZ:
```
5
Lattice="5.8232 0.0000 0.0000 0.0000 5.8232 0.0000 0.0000 0.0000 3.4365" Properties=species:S:1:pos:R:3 pbc="T T T"
Al 0.0000 0.0000 0.0000
Au 2.9116 2.9116 1.7183
I 0.0000 2.9116 0.0000
I 2.9116 0.0000 0.0000
O 0.0000 0.0000 1.7183
```

=====

The lowest calculated total energy belongs to which entry?
V6FeTc5